Record 1
First-principles (PBE) data for a relaxed structure of Tm8AlSb6, as listed in Alexandria via LeMat-Bulk.

Computed properties:
The volume is 430.2 Å³/cell. The uncorrected energy comes out at -4.884 eV per atom.

Lattice parameters (Å, degrees): 10.486 10.486 4.517 90.00 90.00 120.00
Positions (direct):
Tm 0.032 0.293 0.255
Tm 0.260 0.968 0.255
Tm 0.293 0.260 0.745
Tm 0.333 0.667 0.747
Tm 0.667 0.333 0.253
Tm 0.707 0.740 0.255
Tm 0.740 0.032 0.745
Tm 0.968 0.707 0.745
Al 0.000 0.000 0.500
Sb 0.112 0.639 0.247
Sb 0.361 0.474 0.247
Sb 0.474 0.112 0.753
Sb 0.526 0.888 0.247
Sb 0.639 0.526 0.753
Sb 0.888 0.361 0.753


Record 2
First-principles (PBE) data for a relaxed structure of Tm6AlSb2, as listed in Alexandria via LeMat-Bulk.

Computed properties:
The volume is 612.0 Å³/cell. The uncorrected energy comes out at -4.410 eV per atom.

Lattice parameters (Å, degrees): 6.773 6.773 13.342 90.00 90.00 90.00
Positions (direct):
Tm 0.194 0.194 0.162
Tm 0.194 0.194 0.838
Tm 0.208 0.208 0.500
Tm 0.292 0.708 0.000
Tm 0.306 0.694 0.338
Tm 0.306 0.694 0.662
Tm 0.694 0.306 0.338
Tm 0.694 0.306 0.662
Tm 0.708 0.292 0.000
Tm 0.792 0.792 0.500
Tm 0.806 0.806 0.162
Tm 0.806 0.806 0.838
Al 0.000 0.000 0.000
Al 0.500 0.500 0.500
Sb 0.000 0.000 0.335
Sb 0.000 0.000 0.665
Sb 0.500 0.500 0.165
Sb 0.500 0.500 0.835


Record 3
First-principles (PBE) data for a relaxed structure of Tm8AlSb2, as listed in Alexandria via LeMat-Bulk.

Computed properties:
The volume is 305.8 Å³/cell. The uncorrected energy comes out at -4.705 eV per atom.

Lattice parameters (Å, degrees): 9.786 9.786 6.679 102.67 102.67 29.40
Positions (direct):
Tm 0.019 0.019 0.269
Tm 0.215 0.215 0.837
Tm 0.344 0.344 0.483
Tm 0.409 0.409 0.021
Tm 0.591 0.591 0.979
Tm 0.656 0.656 0.517
Tm 0.785 0.785 0.163
Tm 0.981 0.981 0.731
Al 0.500 0.500 0.500
Sb 0.180 0.180 0.271
Sb 0.820 0.820 0.729


Record 4
First-principles (PBE) data for a relaxed structure of TmAl4Sb, as listed in Alexandria via LeMat-Bulk.

Computed properties:
The volume is 119.2 Å³/cell. The uncorrected energy comes out at -4.095 eV per atom.

Lattice parameters (Å, degrees): 5.524 5.524 5.524 60.00 60.00 60.00
Positions (direct):
Tm 0.000 0.000 0.000
Al 0.125 0.625 0.625
Al 0.625 0.125 0.625
Al 0.625 0.625 0.125
Al 0.625 0.625 0.625
Sb 0.250 0.250 0.250


Record 5
First-principles (PBE) data for a relaxed structure of U2AlSb4, as listed in Alexandria via LeMat-Bulk.

Computed properties:
The volume is 184.9 Å³/cell. The uncorrected energy comes out at -6.260 eV per atom.

Lattice parameters (Å, degrees): 4.383 4.383 9.628 90.00 90.00 90.00
Positions (direct):
U 0.000 0.500 0.250
U 0.500 0.000 0.750
Al 0.000 0.000 0.500
Sb 0.000 0.000 0.000
Sb 0.000 0.500 0.667
Sb 0.500 0.000 0.333
Sb 0.500 0.500 0.000


Record 6
First-principles (PBE) data for a relaxed structure of AlVSb3, as listed in Alexandria via LeMat-Bulk.

Computed properties:
The volume is 135.9 Å³/cell. The value obtained for the distance to the lowest polymorph of the same formula is 0.0000 eV per atom. The uncorrected energy comes out at -4.619 eV per atom.

Lattice parameters (Å, degrees): 5.141 5.141 5.141 90.00 90.00 90.00
Positions (direct):
Al 0.000 0.000 0.000
V 0.500 0.500 0.500
Sb 0.000 0.500 0.500
Sb 0.500 0.000 0.500
Sb 0.500 0.500 0.000


Record 7
First-principles (PBE) data for a relaxed structure of Al2VSb, as listed in Alexandria via LeMat-Bulk.

Computed properties:
The volume is 164.6 Å³/cell. The uncorrected energy comes out at -4.763 eV per atom.

Lattice parameters (Å, degrees): 6.120 6.120 6.120 101.70 101.70 126.46
Positions (direct):
Al 0.121 0.625 0.996
Al 0.375 0.371 0.496
Al 0.629 0.125 0.004
Al 0.875 0.879 0.504
V 0.000 0.000 0.000
V 0.750 0.250 0.500
Sb 0.250 0.750 0.500
Sb 0.500 0.500 0.000


Record 8
First-principles (PBE) data for a relaxed structure of AlV2Sb, as listed in Alexandria via LeMat-Bulk.

Computed properties:
The volume is 142.4 Å³/cell. The value obtained for the distance to the lowest polymorph of the same formula is 0.1984 eV per atom. The uncorrected energy comes out at -6.143 eV per atom.

Lattice parameters (Å, degrees): 9.882 9.882 9.882 157.40 157.40 32.18
Positions (direct):
Al 0.000 0.000 0.000
Al 0.750 0.250 0.500
V 0.094 0.625 0.969
V 0.375 0.344 0.469
V 0.656 0.125 0.031
V 0.875 0.906 0.531
Sb 0.250 0.750 0.500
Sb 0.500 0.500 0.000


Record 9
First-principles (PBE) data for a relaxed structure of Al2V2Sb, as listed in Alexandria via LeMat-Bulk.

Computed properties:
The volume is 170.9 Å³/cell. The uncorrected energy comes out at -5.960 eV per atom.

Lattice parameters (Å, degrees): 6.649 6.649 3.865 90.00 90.00 90.00
Positions (direct):
Al 0.153 0.347 0.000
Al 0.347 0.847 0.000
Al 0.653 0.153 0.000
Al 0.847 0.653 0.000
V 0.132 0.632 0.500
V 0.368 0.132 0.500
V 0.632 0.868 0.500
V 0.868 0.368 0.500
Sb 0.000 0.000 0.500
Sb 0.500 0.500 0.500


Record 10
First-principles (PBE) data for a relaxed structure of AlV2Sb, as listed in Alexandria via LeMat-Bulk.

Computed properties:
The volume is 67.0 Å³/cell. The value obtained for the distance to the lowest polymorph of the same formula is 0.0000 eV per atom. The uncorrected energy comes out at -6.341 eV per atom.

Lattice parameters (Å, degrees): 4.559 4.559 4.559 60.00 60.00 60.00
Positions (direct):
Al 0.000 0.000 0.000
V 0.250 0.250 0.250
V 0.750 0.750 0.750
Sb 0.500 0.500 0.500


Record 11
First-principles (PBE) data for a relaxed structure of AlVSb3, as listed in Alexandria via LeMat-Bulk.

Computed properties:
The volume is 142.9 Å³/cell. The value obtained for the distance to the lowest polymorph of the same formula is 0.4714 eV per atom. The uncorrected energy comes out at -4.147 eV per atom.

Lattice parameters (Å, degrees): 5.228 5.228 5.228 90.00 90.00 90.00
Positions (direct):
Al 0.000 0.000 0.000
V 0.500 0.500 0.500
Sb 0.000 0.000 0.500
Sb 0.000 0.500 0.000
Sb 0.500 0.000 0.000


Record 12
First-principles (PBE) data for a relaxed structure of Zr2AlVSb, as listed in Alexandria via LeMat-Bulk.

Computed properties:
The volume is 135.6 Å³/cell. The uncorrected energy comes out at -5.964 eV per atom.

Lattice parameters (Å, degrees): 5.275 5.275 4.871 90.00 90.00 90.00
Positions (direct):
Zr 0.000 0.500 0.000
Zr 0.500 0.000 0.000
Al 0.000 0.000 0.500
V 0.500 0.500 0.500
Sb 0.500 0.500 0.000


| no. | formation energy from raw total energies (meV/atom) |
| --- | --- |
| 1 | -601 |
| 2 | -97 |
| 3 | -363 |
| 4 | -168 |
| 5 | -144 |
| 6 | 427 |
| 7 | 419 |
| 8 | 383 |
| 9 | 8 |
| 10 | 184 |
| 11 | 898 |
| 12 | 852 |